InReNi2Pb: optimized geometry, GGA-PBE.

Output
Symmetry = P4/mmm (123)
Density of states at the Fermi level = 1.12 states/eV/atom
M_tot = 0.00 μB/f.u.
Energy of formation = 978 meV per atom

Cell: 4.6458 5.1973 4.6458 Å, 90.00 90.00 90.00°
Last column: nearest neighbours and their distance in Å.
Fractional coordinates of all 5 atoms:
Pb1 0.5000 0.5000 0.5000  4 In 3.29, 8 Ni 3.49
Re1 0.0000 0.0000 0.0000  4 Ni 2.32, 2 In 2.60
Ni1 0.0000 0.0000 0.5000  2 Re 2.32
Ni2 0.5000 0.0000 0.0000  2 Re 2.32
In1 0.0000 0.5000 0.0000  2 Re 2.60

---

In2NiSbPb: optimized geometry, GGA-PBE.

Output
Symmetry = P4/mmm (123)
Density of states at the Fermi level = 0.72 states/eV/atom
M_tot = 0.00 μB/f.u.
Formation energy (no corrections) = 0.075 eV per atom

Cell: 5.0006 5.0006 5.2630 Å, 90.00 90.00 90.00°
Last column: nearest neighbours and their distance in Å.
Fractional coordinates of all 5 atoms:
Pb1 0.0000 0.0000 0.5000  2 Ni 2.63
Sb1 0.5000 0.5000 0.5000  4 Pb 3.54, 8 In 3.63
Ni1 0.0000 0.0000 0.0000  4 In 2.50, 2 Pb 2.63
In1 0.0000 0.5000 0.0000  2 Ni 2.50
In2 0.5000 0.0000 0.0000  2 Ni 2.50